Record 1
VASP calculation (GGA-PBE) on crystalline TbTcGe2Ru at its relaxed geometry.

Cell and atoms, written as POSCAR:
```
TbTcGe2Ru
1.0
-2.130 2.130 5.034
2.130 -2.130 5.034
2.130 2.130 -5.034
Tb Tc Ge Ru
1 1 2 1
Direct
0.000 0.000 0.000
0.750 0.250 0.500
0.373 0.373 0.000
0.627 0.627 0.000
0.250 0.750 0.500
```

Summary:
Space-group type: I-4m2 (119)
Calculated volume: 18.28 Å³/atom
Electronic total energy: -36.1 eV/f.u.

Record 2
VASP calculation (GGA-PBE) on crystalline TbTcGe3Ru at its relaxed geometry.

Cell and atoms, written as POSCAR:
```
TbTcGe3Ru
1.0
3.973 -5.550 0.000
3.973 5.550 0.000
0.000 0.000 5.686
Tb Tc Ge Ru
2 2 6 2
Direct
0.241 0.759 0.750
0.759 0.241 0.250
0.453 0.547 0.250
0.547 0.453 0.750
0.246 0.754 0.250
0.250 0.250 0.000
0.250 0.250 0.500
0.750 0.750 0.000
0.750 0.750 0.500
0.754 0.246 0.750
0.039 0.961 0.250
0.961 0.039 0.750
```

Summary:
Space-group type: Cmcm (63)
Calculated volume: 20.89 Å³/atom
Electronic total energy: -39.3 eV/f.u.

Record 3
VASP calculation (GGA-PBE) on crystalline TbYGeRu at its relaxed geometry.

Cell and atoms, written as POSCAR:
```
TbYGeRu
1.0
0.000 3.497 3.497
3.497 0.000 3.497
3.497 3.497 0.000
Tb Y Ge Ru
1 1 1 1
Direct
0.000 0.000 0.000
0.500 0.500 0.500
0.750 0.750 0.750
0.250 0.250 0.250
```

Summary:
Space-group type: F-43m (216)
Calculated volume: 21.39 Å³/atom
Electronic total energy: -26.9 eV/f.u.
Distance to the lowest polymorph of the same formula: 13.98 kJ per mole of atoms

Record 4
VASP calculation (GGA-PBE) on crystalline TbYGeRu at its relaxed geometry.

Cell and atoms, written as POSCAR:
```
TbYGeRu
1.0
3.907 0.000 0.000
0.000 2.126 5.415
0.000 -2.126 5.415
Tb Y Ge Ru
1 1 1 1
Direct
0.000 0.000 0.000
0.500 0.718 0.718
0.500 0.422 0.422
0.000 0.270 0.270
```

Summary:
Space-group type: Amm2 (38)
Calculated volume: 22.49 Å³/atom
Electronic total energy: -27.5 eV/f.u.
Distance to the lowest polymorph of the same formula: 0.00 kJ per mole of atoms

Record 5
VASP calculation (GGA-PBE) on crystalline Tc3GeRu at its relaxed geometry.

Cell and atoms, written as POSCAR:
```
Tc3GeRu
1.0
4.468 0.000 0.000
0.000 4.468 0.000
0.000 0.000 4.468
Tc Ge Ru
3 1 1
Direct
0.000 0.000 0.500
0.000 0.500 0.000
0.500 0.000 0.000
0.000 0.000 0.000
0.500 0.500 0.500
```

Summary:
Space-group type: Pm-3m (221)
Calculated volume: 17.84 Å³/atom
Electronic total energy: -37.4 eV/f.u.
Distance to the lowest polymorph of the same formula: 0.00 kJ per mole of atoms

Record 6
VASP calculation (GGA-PBE) on crystalline TcGe2Ru at its relaxed geometry.

Cell and atoms, written as POSCAR:
```
TcGe2Ru
1.0
1.494 0.863 7.674
-1.494 0.863 7.674
0.000 -1.725 7.674
Tc Ge Ru
1 2 1
Direct
0.000 0.000 0.000
0.581 0.581 0.581
0.749 0.749 0.749
0.163 0.163 0.163
```

Summary:
Space-group type: R3m (160)
Calculated volume: 14.83 Å³/atom
Electronic total energy: -29.3 eV/f.u.
Distance to the lowest polymorph of the same formula: 4.87 kJ per mole of atoms

Record 7
VASP calculation (GGA-PBE) on crystalline Tc2GeRu at its relaxed geometry.

Cell and atoms, written as POSCAR:
```
Tc2GeRu
1.0
2.054 1.186 4.409
-2.054 1.186 4.409
0.000 -2.372 4.409
Tc Ge Ru
2 1 1
Direct
0.000 0.000 0.000
0.184 0.184 0.184
0.595 0.595 0.595
0.405 0.405 0.405
```

Summary:
Space-group type: R3m (160)
Calculated volume: 16.11 Å³/atom
Electronic total energy: -33.8 eV/f.u.

Record 8
VASP calculation (GGA-PBE) on crystalline Tc2GeRu at its relaxed geometry.

Cell and atoms, written as POSCAR:
```
Tc2GeRu
1.0
2.936 0.000 0.000
0.000 2.936 0.000
0.000 0.000 6.619
Tc Ge Ru
2 1 1
Direct
0.000 0.000 0.236
0.000 0.000 0.764
0.500 0.500 0.000
0.500 0.500 0.500
```

Summary:
Space-group type: P4/mmm (123)
Calculated volume: 14.26 Å³/atom
Electronic total energy: -34.6 eV/f.u.

Record 9
VASP calculation (GGA-PBE) on crystalline Tc2Ge4Ru at its relaxed geometry.

Cell and atoms, written as POSCAR:
```
Tc2Ge4Ru
1.0
-2.365 2.365 6.211
2.365 -2.365 6.211
2.365 2.365 -6.211
Tc Ge Ru
2 4 1
Direct
0.102 0.102 0.000
0.898 0.898 0.000
0.000 0.500 0.500
0.300 0.300 0.000
0.500 0.000 0.500
0.700 0.700 0.000
0.500 0.500 0.000
```

Summary:
Space-group type: I4/mmm (139)
Calculated volume: 19.86 Å³/atom
Electronic total energy: -44.2 eV/f.u.
Distance to the lowest polymorph of the same formula: 71.53 kJ per mole of atoms

Record 10
VASP calculation (GGA-PBE) on crystalline Tc2Ge4Ru at its relaxed geometry.

Cell and atoms, written as POSCAR:
```
Tc2Ge4Ru
1.0
6.980 -1.593 0.000
6.980 1.593 0.000
-2.137 0.000 5.226
Tc Ge Ru
2 4 1
Direct
0.247 0.247 0.250
0.753 0.753 0.750
0.120 0.120 0.779
0.386 0.386 0.681
0.614 0.614 0.319
0.880 0.880 0.221
0.000 0.000 0.000
```

Summary:
Space-group type: C2/m (12)
Calculated volume: 16.61 Å³/atom
Electronic total energy: -49.4 eV/f.u.
Distance to the lowest polymorph of the same formula: 0.00 kJ per mole of atoms

Record 11
VASP calculation (GGA-PBE) on crystalline TcGe2Ru at its relaxed geometry.

Cell and atoms, written as POSCAR:
```
TcGe2Ru
1.0
1.438 0.830 8.929
-1.438 0.830 8.929
0.000 -1.661 8.929
Tc Ge Ru
1 2 1
Direct
0.000 0.000 0.000
0.094 0.094 0.094
0.906 0.906 0.906
0.500 0.500 0.500
```

Summary:
Space-group type: R-3m (166)
Calculated volume: 15.99 Å³/atom
Electronic total energy: -28.0 eV/f.u.
Distance to the lowest polymorph of the same formula: 36.83 kJ per mole of atoms

Record 12
VASP calculation (GGA-PBE) on crystalline Tc5Ge6Ru at its relaxed geometry.

Cell and atoms, written as POSCAR:
```
Tc5Ge6Ru
1.0
2.579 -4.425 0.000
2.579 4.425 0.000
-1.792 0.000 7.863
Tc Ge Ru
5 6 1
Direct
0.000 0.000 0.000
0.161 0.839 0.500
0.330 0.670 0.000
0.670 0.330 0.000
0.839 0.161 0.500
0.087 0.422 0.254
0.256 0.256 0.753
0.422 0.087 0.254
0.578 0.913 0.746
0.744 0.744 0.247
0.913 0.578 0.746
0.500 0.500 0.500
```

Summary:
Space-group type: C2/m (12)
Calculated volume: 14.96 Å³/atom
Electronic total energy: -88.4 eV/f.u.